A geometry-optimized Ho2Ga12Pt structure. Source: the Alexandria database, functional GGA-PBE.

ΔE_f ... -0.394 eV/atom

```
data_Ho2Ga12Pt
_cell_length_a 6.122
_cell_length_b 6.122
_cell_length_c 15.340
_cell_angle_alpha 90.00
_cell_angle_beta 90.00
_cell_angle_gamma 90.00
_symmetry_space_group_name_H-M 'P 4/n b m'
_symmetry_Int_Tables_number 125
loop_
_symmetry_equiv_pos_as_xyz
'x,y,z'
'-x,-y,-z'
'-y+1/2,x,z'
'y+1/2,-x,-z'
'-x+1/2,-y+1/2,z'
'x+1/2,y+1/2,-z'
'y,-x+1/2,z'
'-y,x+1/2,-z'
'x,-y+1/2,-z'
'-x,y+1/2,z'
'-y+1/2,-x+1/2,-z'
'y+1/2,x+1/2,z'
'-x+1/2,y,-z'
'x+1/2,-y,z'
'y,x,-z'
'-y,-x,z'
loop_
_atom_site_label
_atom_site_fract_x
_atom_site_fract_y
_atom_site_fract_z
_atom_site_occupancy
Ho1 0.250 0.750 0.241 1
Ga1 0.000 0.000 0.092 1
Ga2 0.085 0.585 0.431 1
Ga3 0.250 0.250 0.190 1
Ga4 0.250 0.250 0.349 1
Pt1 0.250 0.750 0.000 1
```

---

A geometry-optimized Ho8Ga2Pt structure. Source: the Alexandria database, functional GGA-PBE.

ΔE_f ... -0.448 eV/atom

```
data_Ho8Ga2Pt
_cell_length_a 18.500
_cell_length_b 4.918
_cell_length_c 6.546
_cell_angle_alpha 90.00
_cell_angle_beta 102.09
_cell_angle_gamma 90.00
_symmetry_space_group_name_H-M 'C 1 2/m 1'
_symmetry_Int_Tables_number 12
loop_
_symmetry_equiv_pos_as_xyz
'x,y,z'
'-x,-y,-z'
'-x,y,-z'
'x,-y,z'
'x+1/2,y+1/2,z'
'-x+1/2,-y+1/2,-z'
'-x+1/2,y+1/2,-z'
'x+1/2,-y+1/2,z'
loop_
_atom_site_label
_atom_site_fract_x
_atom_site_fract_y
_atom_site_fract_z
_atom_site_occupancy
Ho1 0.026 0.000 0.278 1
Ho2 0.090 0.500 0.954 1
Ho3 0.154 0.500 0.482 1
Ho4 0.211 0.000 0.823 1
Ga1 0.188 0.000 0.260 1
Pt1 0.000 0.500 0.500 1
```

---

A geometry-optimized HoGa2Pt8 structure. Source: the Alexandria database, functional GGA-PBE.

ΔE_f ... -0.502 eV/atom

```
data_HoGa2Pt8
_cell_length_a 7.510
_cell_length_b 11.775
_cell_length_c 4.553
_cell_angle_alpha 90.00
_cell_angle_beta 111.75
_cell_angle_gamma 90.00
_symmetry_space_group_name_H-M 'C 1 2/m 1'
_symmetry_Int_Tables_number 12
loop_
_symmetry_equiv_pos_as_xyz
'x,y,z'
'-x,-y,-z'
'-x,y,-z'
'x,-y,z'
'x+1/2,y+1/2,z'
'-x+1/2,-y+1/2,-z'
'-x+1/2,y+1/2,-z'
'x+1/2,-y+1/2,z'
loop_
_atom_site_label
_atom_site_fract_x
_atom_site_fract_y
_atom_site_fract_z
_atom_site_occupancy
Ho1 0.000 0.000 0.000 1
Ga1 0.000 0.315 0.500 1
Pt1 0.000 0.236 0.000 1
Pt2 0.098 0.500 0.814 1
Pt3 0.200 0.121 0.619 1
```

---

A geometry-optimized HoGa2Pt6 structure. Source: the Alexandria database, functional GGA-PBE.

Energy relative to the lowest polymorph listed for this composition ... 103.9 meV per atom
ΔE_f ... -0.458 eV/atom

```
data_HoGa2Pt6
_cell_length_a 4.7736
_cell_length_b 4.7736
_cell_length_c 8.9648
_cell_angle_alpha 90.00
_cell_angle_beta 90.00
_cell_angle_gamma 120.00
_symmetry_space_group_name_H-M 'P -3 1 m'
_symmetry_Int_Tables_number 162
_symmetry_space_group_name_Hall '-P 3 2'
loop_
_atom_site_label
_atom_site_fract_x
_atom_site_fract_y
_atom_site_fract_z
_atom_site_occupancy
Ho1 0.0000 0.0000 0.0000 1
Ga1 0.3333 0.6667 0.5000 1
Pt1 0.0000 0.3414 0.7388 1
```

---

A geometry-optimized Ho3GaPt2 structure. Source: the Alexandria database, functional GGA-PBE.

ΔE_f ... -0.998 eV/atom

```
data_Ho3GaPt2
_cell_length_a 11.628
_cell_length_b 4.257
_cell_length_c 11.100
_cell_angle_alpha 90.00
_cell_angle_beta 90.00
_cell_angle_gamma 90.00
_symmetry_space_group_name_H-M 'P n m a'
_symmetry_Int_Tables_number 62
loop_
_symmetry_equiv_pos_as_xyz
'x,y,z'
'-x,-y,-z'
'-x+1/2,-y,z+1/2'
'x+1/2,y,-z+1/2'
'x+1/2,-y+1/2,-z+1/2'
'-x+1/2,y+1/2,z+1/2'
'-x,y+1/2,-z'
'x,-y+1/2,z'
loop_
_atom_site_label
_atom_site_fract_x
_atom_site_fract_y
_atom_site_fract_z
_atom_site_occupancy
Ho1 0.048 0.250 0.125 1
Ho2 0.122 0.750 0.575 1
Ho3 0.202 0.250 0.820 1
Ga1 0.131 0.250 0.376 1
Pt1 0.012 0.750 0.314 1
Pt2 0.178 0.750 0.998 1
```

---

A geometry-optimized Ho2GaPt structure. Source: the Alexandria database, functional GGA-PBE.

ΔE_f ... -0.146 eV/atom

```
data_Ho2GaPt
_cell_length_a 3.3335
_cell_length_b 3.3335
_cell_length_c 29.5735
_cell_angle_alpha 90.00
_cell_angle_beta 90.00
_cell_angle_gamma 120.00
_symmetry_space_group_name_H-M 'R -3 m'
_symmetry_Int_Tables_number 166
_symmetry_space_group_name_Hall '-R 3 2"'
loop_
_atom_site_label
_atom_site_fract_x
_atom_site_fract_y
_atom_site_fract_z
_atom_site_occupancy
Ho1 0.0000 0.0000 0.0890 1
Ga1 0.0000 0.0000 0.5000 1
Pt1 0.0000 0.0000 0.0000 1
```

---

A geometry-optimized HoGa6Pt3 structure. Source: the Alexandria database, functional GGA-PBE.

ΔE_f ... -0.617 eV/atom

```
data_HoGa6Pt3
_cell_length_a 8.121
_cell_length_b 4.128
_cell_length_c 10.875
_cell_angle_alpha 90.00
_cell_angle_beta 96.00
_cell_angle_gamma 90.00
_symmetry_space_group_name_H-M 'P 1 21/m 1'
_symmetry_Int_Tables_number 11
loop_
_symmetry_equiv_pos_as_xyz
'x,y,z'
'-x,-y,-z'
'-x,y+1/2,-z'
'x,-y+1/2,z'
loop_
_atom_site_label
_atom_site_fract_x
_atom_site_fract_y
_atom_site_fract_z
_atom_site_occupancy
Ho1 0.003 0.250 0.226 1
Ga1 0.053 0.750 0.430 1
Ga2 0.198 0.250 0.938 1
Ga3 0.258 0.250 0.692 1
Ga4 0.354 0.250 0.236 1
Ga5 0.412 0.750 0.557 1
Ga6 0.443 0.750 0.086 1
Pt1 0.126 0.750 0.061 1
Pt2 0.257 0.250 0.454 1
Pt3 0.361 0.750 0.841 1
```

---

A geometry-optimized HoGa4Pt structure. Source: the Alexandria database, functional GGA-PBE.

ΔE_f ... -0.219 eV/atom

```
data_HoGa4Pt
_cell_length_a 5.074
_cell_length_b 5.074
_cell_length_c 10.035
_cell_angle_alpha 90.00
_cell_angle_beta 90.00
_cell_angle_gamma 90.00
_symmetry_space_group_name_H-M 'P 42/n m c'
_symmetry_Int_Tables_number 137
loop_
_symmetry_equiv_pos_as_xyz
'x,y,z'
'-x,-y,-z'
'-y+1/2,x,z+1/2'
'y+1/2,-x,-z+1/2'
'-x+1/2,-y+1/2,z'
'x+1/2,y+1/2,-z'
'y,-x+1/2,z+1/2'
'-y,x+1/2,-z+1/2'
'x+1/2,-y,-z'
'-x+1/2,y,z'
'-y,-x,-z+1/2'
'y,x,z+1/2'
'-x,y+1/2,-z'
'x,-y+1/2,z'
'y+1/2,x+1/2,-z+1/2'
'-y+1/2,-x+1/2,z+1/2'
loop_
_atom_site_label
_atom_site_fract_x
_atom_site_fract_y
_atom_site_fract_z
_atom_site_occupancy
Ho1 0.250 0.750 0.250 1
Ga1 0.007 0.250 0.040 1
Pt1 0.250 0.750 0.750 1
```